(1)
# Ho2Si6Pd21 PBE-GGA optimized geometry
data_Ho2Si6Pd21
_cell_length_a 12.236
_cell_length_b 12.236
_cell_length_c 12.236
_cell_angle_alpha 90.00
_cell_angle_beta 90.00
_cell_angle_gamma 90.00
_symmetry_space_group_name_H-M 'F m -3 m'
_symmetry_Int_Tables_number 225
_symmetry_space_group_name_Hall '-F 4 2 3'
loop_
_atom_site_label
_atom_site_type_symbol
_atom_site_fract_x
_atom_site_fract_y
_atom_site_fract_z
Ho1 Ho 0.250 0.250 0.250
Si1 Si 0.000 0.000 0.234
Pd1 Pd 0.000 0.000 0.500
Pd2 Pd 0.000 0.172 0.328
Pd3 Pd 0.117 0.117 0.117
# Energy relative to the elements, uncorrected ... -0.719 eV/atom

(2)
# PaGaAgO5 PBE-GGA optimized geometry
data_PaGaAgO5
_cell_length_a 6.606
_cell_length_b 9.782
_cell_length_c 8.246
_cell_angle_alpha 90.00
_cell_angle_beta 113.11
_cell_angle_gamma 90.00
_symmetry_space_group_name_H-M 'C 1 2/c 1'
_symmetry_Int_Tables_number 15
_symmetry_space_group_name_Hall '-C 2yc'
loop_
_atom_site_label
_atom_site_type_symbol
_atom_site_fract_x
_atom_site_fract_y
_atom_site_fract_z
Pa1 Pa 0.000 0.000 0.000
Ga1 Ga 0.000 0.308 0.250
Ag1 Ag 0.000 0.316 0.750
O1 O 0.000 0.091 0.750
O2 O 0.149 0.187 0.158
O3 O 0.182 0.421 0.426
# Energy relative to the elements, uncorrected ... -2.072 eV/atom

(3)
# SrNiN PBE-GGA optimized geometry
data_SrNiN
_cell_length_a 3.513
_cell_length_b 6.083
_cell_length_c 8.286
_cell_angle_alpha 90.00
_cell_angle_beta 90.00
_cell_angle_gamma 90.00
_symmetry_space_group_name_H-M 'C m c m'
_symmetry_Int_Tables_number 63
_symmetry_space_group_name_Hall '-C 2c 2'
loop_
_atom_site_label
_atom_site_type_symbol
_atom_site_fract_x
_atom_site_fract_y
_atom_site_fract_z
Sr1 Sr 0.000 0.000 0.000
Ni1 Ni 0.000 0.333 0.250
N1 N 0.000 0.333 0.750
# Energy relative to the elements, uncorrected ... -0.113 eV/atom

(4)
# BaB2Ir2 PBE-GGA optimized geometry
data_BaB2Ir2
_cell_length_a 4.198
_cell_length_b 4.198
_cell_length_c 11.439
_cell_angle_alpha 90.00
_cell_angle_beta 90.00
_cell_angle_gamma 90.00
_symmetry_space_group_name_H-M 'I 4/m m m'
_symmetry_Int_Tables_number 139
_symmetry_space_group_name_Hall '-I 4 2'
loop_
_atom_site_label
_atom_site_type_symbol
_atom_site_fract_x
_atom_site_fract_y
_atom_site_fract_z
Ba1 Ba 0.000 0.000 0.000
B1 B 0.000 0.500 0.250
Ir1 Ir 0.000 0.000 0.273
# E_form ... -0.09 eV/atom